This record from OQMD describes an optimized crystal structure of CsGaCo. The functional is PBE.

Output
* total moment: 0.89 μB per formula unit
* calculated total energy: -7.90 eV for the cell shown

Cell lengths 4.7915, 4.7915, 4.7915 Å; angles 60.00, 60.00, 60.00 degrees
Sites, in units of the cell vectors:
Co1 0.0000 0.0000 0.0000
Cs1 0.2500 0.2500 0.2500
Ga1 0.7500 0.7500 0.7500